Entry from Alexandria via LeMat-Bulk: ReSiMo2 after structural relaxation (PBE).

```
ReSiMo2
1.0
4.364 0.000 0.000
0.000 2.820 -0.001
0.000 1.166 4.889
Mo Re Si
2 1 1
Direct
0.000 0.070 0.981 Mo
0.500 0.243 0.273 Mo
0.000 0.581 0.493 Re
0.500 0.606 0.753 Si
```

Computed properties:
Its total energy is -9.9179 eV/atom. The density of states at the Fermi level comes out at 2.2 states/eV/cell. The value obtained for the energy relative to the elements, uncorrected is -0.14 eV/f.u. As for the total moment: 0.0 μB per cell. Its volume is 15.0 Å³/atom.